KReSb2I PBE relaxed; SG = P4/mmm; M_tot = 0.0000 μB/atom; distance to the lowest polymorph of the same formula = 0.000 eV/atom; E_tot = -4.517 eV/atom
1.0
-5.094 0.289 0.531
0.489 -0.671 5.062
0.441 6.312 0.795
K I Sb Re
1 1 2 1
Direct
0.500 0.500 0.500
0.000 0.000 0.500
0.000 0.500 0.000
0.500 0.000 0.000
0.000 0.000 0.000